# BaZn3

BaZn3 at its PBEsol-relaxed geometry (meta-GGA SCAN, Alexandria).

Unit cell a=3.843 b=4.312 c=6.025 alpha=90.00 beta=102.49 gamma=90.00
Atoms (fractional coordinates):
Ba: 0.000 0.000 0.000
Zn: 0.301 0.500 0.646
Zn: 0.500 0.000 0.500
Zn: 0.699 0.500 0.354

Properties
- total magnetic moment (μB per formula unit) = 0.0
- V (Å³/cell) = 97.5
- symmetry = P2/m (10)
- formation enthalpy at 0 K (kJ/mol of atoms) = -6.7



# Ba3Zn

Ba3Zn at its PBEsol-relaxed geometry (meta-GGA SCAN, Alexandria).

Unit cell a=4.110 b=4.110 c=10.597 alpha=90.00 beta=90.00 gamma=90.00
Atoms (fractional coordinates):
Ba: 0.000 0.000 0.000
Ba: 0.500 0.500 0.324
Ba: 0.500 0.500 0.676
Zn: 0.000 0.000 0.500

Properties
- total magnetic moment (μB per formula unit) = 0.2
- V (Å³/cell) = 179.0
- symmetry = P4/mmm (123)
- formation enthalpy at 0 K (kJ/mol of atoms) = -8.9



# BaZn5

BaZn5 at its PBEsol-relaxed geometry (meta-GGA SCAN, Alexandria).

Unit cell a=6.722 b=6.722 c=5.251 alpha=90.00 beta=90.00 gamma=75.43
Atoms (fractional coordinates):
Ba: 0.163 0.837 0.750
Ba: 0.837 0.163 0.250
Zn: 0.035 0.580 0.250
Zn: 0.296 0.296 0.000
Zn: 0.296 0.296 0.500
Zn: 0.420 0.965 0.250
Zn: 0.423 0.577 0.250
Zn: 0.577 0.423 0.750
Zn: 0.580 0.035 0.750
Zn: 0.704 0.704 0.000
Zn: 0.704 0.704 0.500
Zn: 0.965 0.420 0.750

Properties
- total magnetic moment (μB per formula unit) = 0.0
- V (Å³/cell) = 229.6
- symmetry = Cmcm (63)
- formation enthalpy at 0 K (kJ/mol of atoms) = -26.2



# BaZn4

BaZn4 at its PBEsol-relaxed geometry (meta-GGA SCAN, Alexandria).

Unit cell a=4.531 b=4.531 c=10.263 alpha=90.00 beta=90.00 gamma=90.00
Atoms (fractional coordinates):
Ba: 0.000 0.000 0.000
Ba: 0.500 0.500 0.500
Zn: 0.000 0.000 0.373
Zn: 0.000 0.000 0.627
Zn: 0.000 0.500 0.250
Zn: 0.000 0.500 0.750
Zn: 0.500 0.000 0.250
Zn: 0.500 0.000 0.750
Zn: 0.500 0.500 0.127
Zn: 0.500 0.500 0.873

Properties
- total magnetic moment (μB per formula unit) = 0.0
- V (Å³/cell) = 210.7
- symmetry = I4/mmm (139)
- formation enthalpy at 0 K (kJ/mol of atoms) = -18.9



# Ba2Zn3

Ba2Zn3 at its PBEsol-relaxed geometry (meta-GGA SCAN, Alexandria).

Unit cell a=4.636 b=4.636 c=25.528 alpha=90.00 beta=90.00 gamma=120.00
Atoms (fractional coordinates):
Ba: 0.000 0.000 0.082
Ba: 0.000 0.000 0.918
Ba: 0.333 0.667 0.584
Ba: 0.333 0.667 0.749
Ba: 0.667 0.333 0.251
Ba: 0.667 0.333 0.416
Zn: 0.000 0.000 0.334
Zn: 0.000 0.000 0.500
Zn: 0.000 0.000 0.666
Zn: 0.333 0.667 0.001
Zn: 0.333 0.667 0.167
Zn: 0.333 0.667 0.333
Zn: 0.667 0.333 0.667
Zn: 0.667 0.333 0.833
Zn: 0.667 0.333 0.999

Properties
- total magnetic moment (μB per formula unit) = 0.0
- V (Å³/cell) = 475.1
- symmetry = R-3m (166)
- formation enthalpy at 0 K (kJ/mol of atoms) = -11.8



# BaZn3

BaZn3 at its PBEsol-relaxed geometry (meta-GGA SCAN, Alexandria).

Unit cell a=4.328 b=6.833 c=6.339 alpha=90.00 beta=90.00 gamma=90.00
Atoms (fractional coordinates):
Ba: 0.250 0.250 0.103
Ba: 0.750 0.750 0.897
Zn: 0.250 0.050 0.601
Zn: 0.250 0.450 0.601
Zn: 0.250 0.750 0.346
Zn: 0.750 0.250 0.654
Zn: 0.750 0.550 0.399
Zn: 0.750 0.950 0.399

Properties
- total magnetic moment (μB per formula unit) = 0.0
- V (Å³/cell) = 187.5
- symmetry = Pmmn (59)
- formation enthalpy at 0 K (kJ/mol of atoms) = -22.9



Table of total energy (eV/cell), in record order: -80.4, -132.5, -217.5, -189.2, -360.8, -162.1
Table of DOS at the Fermi energy (states/eV per cell), in record order: 2.3, 4.5, 4.7, 6.5, 15.3, 4.4